Tl2FeBi2 | Alexandria via LeMat-Bulk | PBE | relaxed; SG = I4/mmm; ΔH_f (0 K) = 346.3 kJ/mol of formula units; energy above the most stable polymorph in this dataset = 0.347 eV per atom
1.0
-1.688 3.240 -2.399
-3.623 -2.360 -0.639
-6.166 3.896 5.619
Bi Fe Tl
2 1 2
direct
0.250 0.750 0.500
0.750 0.250 0.500
0.000 0.000 0.000
0.411 0.411 0.178
0.589 0.589 0.822


Tl2FeBi2 | Alexandria via LeMat-Bulk | PBE | relaxed; SG = P4/mbm; ΔH_f (0 K) = 323.3 kJ/mol of formula units; energy above the most stable polymorph in this dataset = 0.300 eV per atom
1.0
7.063 0.000 0.000
0.000 7.063 0.000
0.000 0.000 5.415
Fe Tl Bi
2 4 4
direct
0.500 0.500 0.000
0.000 0.000 0.000
0.835 0.665 0.000
0.165 0.335 0.000
0.335 0.835 0.000
0.665 0.165 0.000
0.837 0.337 0.500
0.663 0.837 0.500
0.163 0.663 0.500
0.337 0.163 0.500


TlFe2Bi2 | Alexandria via LeMat-Bulk | PBE | relaxed; SG = P4/mbm; ΔH_f (0 K) = 328.3 kJ/mol of formula units; energy above the most stable polymorph in this dataset = 0.150 eV per atom
1.0
-0.172 4.246 -6.544
2.949 -6.025 -3.987
-3.084 -1.094 -0.629
Fe Bi Tl
4 4 2
direct
0.866 0.634 0.000
0.134 0.366 0.000
0.634 0.134 0.000
0.366 0.866 0.000
0.652 0.848 0.500
0.348 0.152 0.500
0.848 0.348 0.500
0.152 0.652 0.500
0.000 0.000 0.000
0.500 0.500 0.000


Tm12Fe6Bi | Alexandria via LeMat-Bulk | PBE | relaxed; SG = Im-3; ΔH_f (0 K) = -269.1 kJ/mol of formula units
1.0
7.839 0.000 -2.771
-3.919 6.789 -2.771
0.000 0.000 8.314
Fe Tm Bi
6 12 1
direct
0.610 0.500 0.110
0.110 0.610 0.500
0.500 0.110 0.610
0.890 0.390 0.500
0.500 0.890 0.390
0.390 0.500 0.890
0.301 0.104 0.802
0.104 0.802 0.301
0.501 0.802 0.699
0.198 0.301 0.499
0.896 0.198 0.699
0.198 0.699 0.896
0.802 0.699 0.501
0.802 0.301 0.104
0.499 0.198 0.301
0.301 0.499 0.198
0.699 0.501 0.802
0.699 0.896 0.198
0.000 0.000 0.000


Q: Which of these has the highest ΔH_f (0 K)?
A: number 1


Q: Which value of ΔH_f (0 K) does entry 3 give?
A: 328.3 kJ/mol of formula units


Q: Which value of ΔH_f (0 K) does entry 4 give?
A: -269.1 kJ/mol of formula units